Below is Zr3NF after structural relaxation, with properties calculated at the GGA-PBE level.

Geometry as CIF:
```
data_Zr3NF
_cell_length_a 4.469
_cell_length_b 4.469
_cell_length_c 4.469
_cell_angle_alpha 90.00
_cell_angle_beta 90.00
_cell_angle_gamma 90.00
_symmetry_space_group_name_H-M 'P 1'
_symmetry_Int_Tables_number 1
loop_
_symmetry_equiv_pos_as_xyz
'x,y,z'
loop_
_atom_site_label
_atom_site_fract_x
_atom_site_fract_y
_atom_site_fract_z
_atom_site_occupancy
Zr1 0.000 0.000 0.500 1
Zr2 0.000 0.500 0.000 1
Zr3 0.500 0.000 0.000 1
N1 0.000 0.000 0.000 1
F1 0.500 0.500 0.500 1
```

## Properties
The symmetry is Pm-3m (221). For the total energy, the calculation gives -7.738 eV/atom.